VASP calculation (PBE-GGA) on a relaxed structure of Be3Re.

The structure in extended XYZ format:
```
8
Lattice="4.3386 0.0000 0.0000 0.0000 4.3386 0.0000 0.0000 0.0000 4.3386" Properties=species:S:1:pos:R:3 pbc="T T T"
Re 0.0000 0.0000 0.0000
Be 2.1693 0.0000 1.0847
Re 2.1693 2.1693 2.1693
Be 0.0000 3.2540 2.1693
Be 0.0000 1.0847 2.1693
Be 3.2540 2.1693 0.0000
Be 1.0847 2.1693 0.0000
Be 2.1693 0.0000 3.2540
```

Properties
calculated volume	81.7	Å³ per cell
total moment	0.00	μB per atom
crystal system	cubic
DOS(E_F)	0.78	states/eV per atom
space group	No. 223
formation enthalpy at 0 K	0.286	eV/atom